Entry from Alexandria: a crystal of K3Hg relaxed with PBEsol (SCAN).

The structure in POSCAR format:
```
K3Hg
1.0
-5.8202 -1.0468 -1.4185
0.0583 -6.7913 4.7723
-2.1125 7.3393 3.2515
Hg K
2 6
Cartesian
-5.0304 -2.8662 3.2014
-2.8439 2.3674 3.4038
-6.0868 4.0098 2.4614
-6.0599 0.8871 4.6558
-5.1154 0.6351 0.9663
-1.7876 -4.5086 4.1438
-1.8144 -1.3859 1.9495
-2.7589 -1.1339 5.6389
```

Computed properties:
The calculation puts the formation energy at -0.10 eV per atom. For the density of states at the Fermi level, the calculation gives 0.408 states/eV per atom. The magnetization is 0.001 μB/f.u. The volume is 181.4 Å³/f.u.